Entry 1:
Computed, not measured: a relaxed structure of CaHg2F8 at the GGA-PBE level of DFT.

## Properties
Energy relative to the elements, uncorrected   -1742 meV/atom
Distance to the lowest polymorph of the same formula   122 meV/atom

Unit cell a=7.143 b=7.143 c=4.335 alpha=90.00 beta=90.00 gamma=120.00
Element x y z (fractional)
Ca: 0.000 0.000 0.000
Hg: 0.333 0.667 0.252
Hg: 0.667 0.333 0.748
F: 0.158 0.839 0.264
F: 0.161 0.319 0.264
F: 0.319 0.158 0.736
F: 0.333 0.667 0.754
F: 0.667 0.333 0.246
F: 0.681 0.842 0.264
F: 0.839 0.681 0.736
F: 0.842 0.161 0.736

***

Entry 2:
Computed, not measured: a relaxed structure of Ta2AlMo at the GGA-PBE level of DFT.

## Properties
E_form   0.024 eV/atom

Unit cell a=2.819 b=4.198 c=5.788 alpha=90.00 beta=90.00 gamma=90.00
Element x y z (fractional)
Ta: 0.000 0.000 0.000
Ta: 0.500 0.500 0.267
Al: 0.000 0.000 0.509
Mo: 0.500 0.500 0.743

***

Entry 3:
Computed, not measured: a relaxed structure of Nb4GaTc5 at the GGA-PBE level of DFT.

## Properties
E_form   -0.304 eV/atom

Unit cell a=3.201 b=3.201 c=15.598 alpha=90.00 beta=90.00 gamma=90.00
Element x y z (fractional)
Nb: 0.000 0.000 0.103
Nb: 0.000 0.000 0.310
Nb: 0.000 0.000 0.690
Nb: 0.000 0.000 0.897
Ga: 0.000 0.000 0.500
Tc: 0.500 0.500 0.000
Tc: 0.500 0.500 0.203
Tc: 0.500 0.500 0.405
Tc: 0.500 0.500 0.595
Tc: 0.500 0.500 0.797

***

Entry 4:
Computed, not measured: a relaxed structure of CeZn4Ag at the GGA-PBE level of DFT.

## Properties
Distance to the lowest polymorph of the same formula   29 meV/atom
E_form   -0.116 eV/atom

Unit cell a=5.387 b=5.387 c=5.387 alpha=60.00 beta=60.00 gamma=60.00
Element x y z (fractional)
Ce: 0.000 0.000 0.000
Zn: 0.375 0.375 0.375
Zn: 0.375 0.375 0.875
Zn: 0.375 0.875 0.375
Zn: 0.875 0.375 0.375
Ag: 0.750 0.750 0.750

***

Entry 5:
Computed, not measured: a relaxed structure of LiLa3Sn3 at the GGA-PBE level of DFT.

## Properties
E_form   -0.736 eV/atom

Unit cell a=6.398 b=6.398 c=15.546 alpha=108.33 beta=108.33 gamma=44.13
Element x y z (fractional)
Li: 0.245 0.245 0.403
Li: 0.755 0.755 0.597
La: 0.253 0.253 0.778
La: 0.406 0.406 0.080
La: 0.458 0.458 0.614
La: 0.542 0.542 0.386
La: 0.594 0.594 0.920
La: 0.747 0.747 0.222
Sn: 0.040 0.040 0.237
Sn: 0.127 0.127 0.075
Sn: 0.131 0.131 0.552
Sn: 0.869 0.869 0.448
Sn: 0.873 0.873 0.925
Sn: 0.960 0.960 0.763

***

Entry 6:
Computed, not measured: a relaxed structure of PrMg4Ag8 at the GGA-PBE level of DFT.

## Properties
E_form   -0.161 eV/atom

Unit cell a=7.339 b=7.339 c=7.339 alpha=98.64 beta=98.64 gamma=134.39
Element x y z (fractional)
Pr: 0.000 0.000 0.000
Mg: 0.000 0.000 0.500
Mg: 0.000 0.500 0.000
Mg: 0.500 0.000 0.000
Mg: 0.500 0.500 0.500
Ag: 0.000 0.347 0.347
Ag: 0.000 0.653 0.653
Ag: 0.284 0.500 0.784
Ag: 0.347 0.000 0.347
Ag: 0.500 0.284 0.784
Ag: 0.500 0.716 0.216
Ag: 0.653 0.000 0.653
Ag: 0.716 0.500 0.216

***

Entry 7:
Computed, not measured: a relaxed structure of CaSi2AgAu7 at the GGA-PBE level of DFT.

## Properties
Energy relative to the elements, uncorrected   -45 meV/atom

Unit cell a=4.153 b=4.153 c=14.698 alpha=90.00 beta=90.00 gamma=90.00
Element x y z (fractional)
Ca: 0.000 0.000 0.000
Si: 0.500 0.500 0.251
Si: 0.500 0.500 0.749
Ag: 0.000 0.000 0.500
Au: 0.000 0.500 0.157
Au: 0.000 0.500 0.843
Au: 0.500 0.000 0.157
Au: 0.500 0.000 0.843
Au: 0.500 0.500 0.000
Au: 0.500 0.500 0.410
Au: 0.500 0.500 0.590

***

Entry 8:
Computed, not measured: a relaxed structure of Li2CaMg at the GGA-PBE level of DFT.

## Properties
E_form   0.111 eV/atom

Unit cell a=10.971 b=10.971 c=10.971 alpha=17.96 beta=17.96 gamma=17.96
Element x y z (fractional)
Li: 0.245 0.245 0.245
Li: 0.755 0.755 0.755
Ca: 0.000 0.000 0.000
Mg: 0.500 0.500 0.500

***

Entry 9:
Computed, not measured: a relaxed structure of DyMg4Pt5 at the GGA-PBE level of DFT.

## Properties
E_form   -0.912 eV/atom

Unit cell a=3.359 b=3.359 c=15.175 alpha=90.00 beta=90.00 gamma=90.00
Element x y z (fractional)
Dy: 0.000 0.000 0.000
Mg: 0.000 0.000 0.213
Mg: 0.000 0.000 0.404
Mg: 0.000 0.000 0.596
Mg: 0.000 0.000 0.787
Pt: 0.500 0.500 0.113
Pt: 0.500 0.500 0.307
Pt: 0.500 0.500 0.500
Pt: 0.500 0.500 0.693
Pt: 0.500 0.500 0.887

***

Entry 10:
Computed, not measured: a relaxed structure of MgFe at the GGA-PBE level of DFT.

## Properties
E_form   0.948 eV/atom

Unit cell a=6.910 b=6.910 c=6.910 alpha=109.47 beta=109.47 gamma=109.47
Element x y z (fractional)
Mg: 0.000 0.000 0.587
Mg: 0.000 0.587 0.000
Mg: 0.413 0.413 0.413
Mg: 0.587 0.000 0.000
Fe: 0.000 0.000 0.204
Fe: 0.000 0.204 0.000
Fe: 0.204 0.000 0.000
Fe: 0.796 0.796 0.796

***

Entry 11:
Computed, not measured: a relaxed structure of VCrB at the GGA-PBE level of DFT.

## Properties
Distance to the lowest polymorph of the same formula   419 meV/atom
E_form   -0.117 eV/atom

Unit cell a=5.053 b=5.053 c=5.053 alpha=90.00 beta=90.00 gamma=90.00
Element x y z (fractional)
V: 0.140 0.360 0.640
V: 0.360 0.640 0.140
V: 0.640 0.140 0.360
V: 0.860 0.860 0.860
Cr: 0.130 0.130 0.130
Cr: 0.370 0.870 0.630
Cr: 0.630 0.370 0.870
Cr: 0.870 0.630 0.370
B: 0.011 0.989 0.489
B: 0.489 0.011 0.989
B: 0.511 0.511 0.511
B: 0.989 0.489 0.011

***

Entry 12:
Computed, not measured: a relaxed structure of Li6InAg at the GGA-PBE level of DFT.

## Properties
Distance to the lowest polymorph of the same formula   14 meV/atom
E_form   -0.166 eV/atom

Unit cell a=4.192 b=4.192 c=8.142 alpha=90.00 beta=90.00 gamma=90.00
Element x y z (fractional)
Li: 0.000 0.000 0.000
Li: 0.000 0.000 0.500
Li: 0.000 0.500 0.239
Li: 0.000 0.500 0.761
Li: 0.500 0.000 0.239
Li: 0.500 0.000 0.761
In: 0.500 0.500 0.500
Ag: 0.500 0.500 0.000

***

Entry 13:
Computed, not measured: a relaxed structure of MgRuSe at the GGA-PBE level of DFT.

## Properties
Energy relative to the elements, uncorrected   -167 meV/atom
Distance to the lowest polymorph of the same formula   56 meV/atom

Unit cell a=3.340 b=3.340 c=5.860 alpha=90.00 beta=90.00 gamma=120.00
Element x y z (fractional)
Mg: 0.000 0.000 0.000
Ru: 0.667 0.333 0.344
Se: 0.333 0.667 0.590

***

Entry 14:
Computed, not measured: a relaxed structure of PmTmHfN3 at the GGA-PBE level of DFT.

## Properties
Energy relative to the elements, uncorrected   -1417 meV/atom

Unit cell a=6.379 b=3.279 c=9.523 alpha=90.00 beta=93.94 gamma=90.00
Element x y z (fractional)
Pm: 0.165 0.250 0.218
Pm: 0.835 0.750 0.782
Tm: 0.203 0.250 0.576
Tm: 0.797 0.750 0.424
Hf: 0.347 0.750 0.893
Hf: 0.653 0.250 0.107
N: 0.140 0.250 0.834
N: 0.157 0.750 0.421
N: 0.401 0.750 0.110
N: 0.599 0.250 0.890
N: 0.843 0.250 0.579
N: 0.860 0.750 0.166

***

Entry 15:
Computed, not measured: a relaxed structure of Pm6Zn2Cu at the GGA-PBE level of DFT.

## Properties
E_form   0.063 eV/atom

Unit cell a=8.724 b=8.724 c=5.013 alpha=106.63 beta=106.63 gamma=48.46
Element x y z (fractional)
Pm: 0.082 0.590 0.336
Pm: 0.244 0.756 0.000
Pm: 0.410 0.918 0.664
Pm: 0.590 0.082 0.336
Pm: 0.756 0.244 0.000
Pm: 0.918 0.410 0.664
Zn: 0.334 0.334 0.834
Zn: 0.666 0.666 0.166
Cu: 0.000 0.000 0.500

***

Entry 16:
Computed, not measured: a relaxed structure of Sc5CCl8 at the GGA-PBE level of DFT.

## Properties
Energy relative to the elements, uncorrected   -1823 meV/atom

Unit cell a=9.380 b=9.380 c=12.246 alpha=129.44 beta=129.44 gamma=21.82
Element x y z (fractional)
Sc: 0.000 0.000 0.000
Sc: 0.158 0.158 0.665
Sc: 0.493 0.493 0.618
Sc: 0.507 0.507 0.382
Sc: 0.842 0.842 0.335
C: 0.000 0.000 0.500
Cl: 0.017 0.017 0.225
Cl: 0.308 0.308 0.446
Cl: 0.324 0.324 0.169
Cl: 0.371 0.371 0.887
Cl: 0.629 0.629 0.113
Cl: 0.676 0.676 0.831
Cl: 0.692 0.692 0.554
Cl: 0.983 0.983 0.775

***

Entry 17:
Computed, not measured: a relaxed structure of Zn3InMo at the GGA-PBE level of DFT.

## Properties
Distance to the lowest polymorph of the same formula   0 meV/atom
E_form   0.864 eV/atom

Unit cell a=5.008 b=5.008 c=5.008 alpha=90.00 beta=90.00 gamma=90.00
Element x y z (fractional)
Zn: 0.000 0.000 0.500
Zn: 0.000 0.500 0.000
Zn: 0.500 0.000 0.000
In: 0.500 0.500 0.500
Mo: 0.000 0.000 0.000

***

Entry 18:
Computed, not measured: a relaxed structure of RbMgZn2I at the GGA-PBE level of DFT.

## Properties
Energy relative to the elements, uncorrected   -156 meV/atom

Unit cell a=5.353 b=5.353 c=6.459 alpha=90.00 beta=90.00 gamma=90.00
Element x y z (fractional)
Rb: 0.000 0.000 0.000
Mg: 0.500 0.500 0.500
Zn: 0.000 0.500 0.500
Zn: 0.500 0.000 0.500
I: 0.500 0.500 0.000

***

Entry 19:
Computed, not measured: a relaxed structure of SiAsPt3 at the GGA-PBE level of DFT.

## Properties
Energy relative to the elements, uncorrected   610 meV/atom
Distance to the lowest polymorph of the same formula   357 meV/atom

Unit cell a=4.678 b=4.678 c=4.678 alpha=90.00 beta=90.00 gamma=90.00
Element x y z (fractional)
Si: 0.000 0.000 0.000
As: 0.500 0.500 0.500
Pt: 0.000 0.500 0.500
Pt: 0.500 0.000 0.500
Pt: 0.500 0.500 0.000

***

Entry 20:
Computed, not measured: a relaxed structure of Tl2InCu2 at the GGA-PBE level of DFT.

## Properties
Distance to the lowest polymorph of the same formula   10 meV/atom
E_form   0.208 eV/atom

Unit cell a=9.672 b=9.672 c=9.672 alpha=159.20 beta=159.20 gamma=29.58
Element x y z (fractional)
Tl: 0.126 0.126 0.000
Tl: 0.874 0.874 0.000
In: 0.500 0.500 0.000
Cu: 0.250 0.750 0.500
Cu: 0.750 0.250 0.500